Model A:
The following is a DFT calculation (PBE-GGA) of a relaxed AgPbF4 crystal.

The structure in POSCAR format:
```
AgPbF4
1.0
-2.950 2.950 5.726
2.950 -2.950 5.726
2.950 2.950 -5.726
Ag Pb F
2 2 8
direct
0.000 0.500 0.500
0.500 0.000 0.500
0.250 0.250 0.000
0.750 0.750 0.000
0.057 0.557 0.872
0.185 0.057 0.500
0.315 0.815 0.872
0.443 0.315 0.500
0.557 0.685 0.500
0.685 0.185 0.128
0.815 0.943 0.500
0.943 0.443 0.128
```

Summary:
**Symmetry**: I4/mcm, No. 140
**Mass density**: 6.51 g cm⁻³


Model B:
The following is a DFT calculation (PBE-GGA) of a relaxed AgPbF4 crystal.

The structure in POSCAR format:
```
AgPbF4
1.0
-3.825 3.825 3.729
3.825 -3.825 3.729
3.825 3.825 -3.729
Ag Pb F
2 2 8
direct
0.000 0.000 0.000
0.750 0.250 0.500
0.260 0.760 0.500
0.510 0.510 0.000
0.213 0.516 0.696
0.266 0.070 0.804
0.266 0.463 0.196
0.273 0.979 0.293
0.686 0.979 0.707
0.729 0.523 0.793
0.729 0.936 0.207
0.820 0.516 0.304
```

Summary:
**Symmetry**: I4_1md, No. 109
**Mass density**: 5.95 g cm⁻³


Stability, lowest: model B